(1)
A plane-wave DFT calculation with PBE was carried out for a relaxed AcZn3Ag5 crystal.

Cell: 4.2204 13.4315 13.2016 Å, 90.00 90.00 90.00°
Last column: nearest neighbours and their distance in Å.
Space group Cmcm (No. 63)
One atom of each set of equivalent atoms:
1 Ac 0.0000 0.1407 0.2500 [4 per cell]  6 Zn 3.34-3.49
2 Zn 0.0000 0.1525 0.7500 [4 per cell]  6 Ag 2.63-2.75
3 Zn 0.0000 0.3899 0.5563 [8 per cell]  5 Ag 2.55-2.72
4 Ag 0.0000 0.0000 0.0000 [4 per cell]  4 Zn 2.68, 2 Ag 2.79
5 Ag 0.0000 0.2004 0.5571 [8 per cell]  2 Zn 2.55-2.63, 1 Ag 2.79
6 Ag 0.0000 0.4303 0.1458 [8 per cell]  4 Zn 2.69-2.75, 5 Ag 2.75-3.01

(2)
A plane-wave DFT calculation with PBE was carried out for a relaxed AcZn4Ag8 crystal.

Cell: 9.5467 9.5467 5.3484 Å, 90.00 90.00 90.00°
Last column: nearest neighbours and their distance in Å.
Space group I4/mmm (No. 139)
One atom of each set of equivalent atoms:
1 Ac 0.0000 0.0000 0.0000 [2 per cell]  12 Ag 3.34-3.41, 8 Zn 3.63
2 Zn 0.2500 0.2500 0.2500 [8 per cell]  2 Zn 2.67, 8 Ag 2.75-2.90
3 Ag 0.0000 0.2220 0.5000 [8 per cell]  4 Zn 2.75, 6 Ag 2.94-3.02
4 Ag 0.0000 0.3499 0.0000 [8 per cell]  5 Ag 2.87-3.02, 4 Zn 2.90

Number 1: energy relative to the elements -0.1156 eV per atom, total moment 0.0 μB per cell. Number 2: energy relative to the elements -0.1363 eV per atom, total moment 0.0 μB per cell.